This record from Alexandria describes a relaxed SbRh2Pb crystal. The functional is PBE.

Cell: 4.7950 4.7950 4.7950 Å, 60.00 60.00 60.00°
Sites, in units of the cell vectors:
Sb 0.2500 0.2500 0.2500
Rh 0.0000 0.0000 0.0000
Rh 0.7500 0.7500 0.7500
Pb 0.5000 0.5000 0.5000

Results
Excess energy over the best structure of this formula in the dataset in meV/atom: 617.9
Space-group type: F-43m, No. 216
Raw total energy in eV per cell: -21.37